A relaxed YCrNi2 crystal, computed with GGA-PBE.

a = 3.9986 Å, b = 3.9986 Å, c = 14.6883 Å
α = 90.00°, β = 90.00°, γ = 120.00°
Closest atoms and distances in Å follow each position.
Space group R3m (No. 160, hexagonal axes)
Asymmetric unit:
Y1 0.0000 0.0000 0.0000  1 Cr 2.79, 4 Ni 2.90-3.05
Cr1 0.0000 0.0000 0.8101  6 Ni 2.31-2.44
Ni1 0.0000 0.0000 0.1973  3 Ni 2.42, 3 Cr 2.44
Ni2 0.0000 0.0000 0.4819  3 Cr 2.31, 3 Ni 2.42

Calculated values
Its size of the total moment is 1.95 μB/cell. The value obtained for the final energy is -6.8926 eV/atom. As for the energy above the lowest structure with this stoichiometry: 140.5 meV per atom. The value obtained for the formation energy is 0.0199 eV per atom. Its crystal system is trigonal. For the volume, the calculation gives 16.95 Å³ per atom.